Computed, not measured: TaTe6Pt2 after structural relaxation at the PBE-GGA level of DFT.

Cell and atoms, written as POSCAR:
```
TaTe6Pt2
1.0
8.458 -1.983 0.000
8.458 1.983 0.000
-2.177 0.000 7.989
Ta Te Pt
1 6 2
Cartesian
0.000 0.000 0.000
2.652 0.000 0.881
1.680 0.000 4.455
7.840 0.000 1.929
6.900 0.000 6.060
13.060 0.000 3.534
12.087 0.000 7.108
4.220 0.000 5.309
10.519 0.000 2.680
```

Computed properties:
E_form (uncorrected)   -0.277 eV/atom
Electronic total energy   -5.031 eV/atom



Computed, not measured: TaTe3Pt after structural relaxation at the PBE-GGA level of DFT.

Cell and atoms, written as POSCAR:
```
TaTe3Pt
1.0
5.185 0.000 0.000
0.000 5.185 0.000
0.000 0.000 5.185
Ta Te Pt
1 3 1
Cartesian
0.000 0.000 0.000
0.000 2.593 2.593
2.593 0.000 2.593
2.593 2.593 0.000
2.593 2.593 2.593
```

Computed properties:
Excess energy over the best structure of this formula in the dataset   0.203 eV/atom
E_form (uncorrected)   0.996 eV/atom
Electronic total energy   -4.468 eV/atom



Computed, not measured: TaTePt2 after structural relaxation at the PBE-GGA level of DFT.

Cell and atoms, written as POSCAR:
```
TaTePt2
1.0
4.776 -1.622 0.000
4.776 1.622 0.000
-0.718 0.000 4.736
Ta Te Pt
1 1 2
Cartesian
0.000 0.000 0.000
4.417 0.000 2.368
1.977 0.000 3.657
6.857 0.000 1.078
```

Computed properties:
E_form (uncorrected)   -0.068 eV/atom
Electronic total energy   -6.837 eV/atom



Computed, not measured: TaTiTePt2 after structural relaxation at the PBE-GGA level of DFT.

Cell and atoms, written as POSCAR:
```
TaTiTePt2
1.0
4.849 0.000 0.000
0.000 4.849 0.000
0.000 0.000 5.064
Ta Ti Te Pt
1 1 1 2
Cartesian
0.000 0.000 0.000
2.424 2.424 0.000
0.000 0.000 2.532
0.000 2.424 2.532
2.424 0.000 2.532
```

Computed properties:
E_form (uncorrected)   1.108 eV/atom
Electronic total energy   -5.887 eV/atom



Computed, not measured: YTaTePt2 after structural relaxation at the PBE-GGA level of DFT.

Cell and atoms, written as POSCAR:
```
YTaTePt2
1.0
4.962 0.000 0.000
0.000 4.962 0.000
0.000 0.000 5.216
Y Ta Te Pt
1 1 1 2
Cartesian
0.000 0.000 0.000
2.481 2.481 2.608
2.481 2.481 0.000
0.000 2.481 2.608
2.481 0.000 2.608
```

Computed properties:
E_form (uncorrected)   -0.042 eV/atom
Electronic total energy   -6.750 eV/atom